Here is an optimized crystal structure of Hg3Os from the Alexandria database. Energies are from PBE.

Summary:
- ρ (kg/m3) = 16588
- space-group type = Pmmm (47)
- E_form (eV per atom) = 0.83
- energy above the most stable polymorph in this dataset (eV/atom) = 0.226
- raw total energy (eV per atom) = -2.206

Cell: 3.0381 4.3461 6.0045 Å, 90.00 90.00 90.00°
Last column: nearest neighbours and their distance in Å.
Positions (direct):
Hg (0.0000, 0.0000, 0.0000)  2 Os 3.00, 10 Hg 3.04-3.10
Hg (0.5000, 0.5000, 0.2671)  7 Hg 2.80-3.10, 4 Os 3.00
Hg (0.5000, 0.5000, 0.7329)  7 Hg 2.80-3.10, 4 Os 3.00
Os (0.0000, 0.0000, 0.5000)  10 Hg 3.00, 2 Os 3.04

***

Here is an optimized crystal structure of Hg2Os from the Alexandria database. Energies are from PBE.

Summary:
- ρ (kg/m3) = 15428
- space-group type = C2/m (12)
- E_form (eV per atom) = 0.69
- raw total energy (eV per atom) = -3.250

Cell: 7.4584 7.4584 6.2976 Å, 103.36 103.36 21.96°
Last column: nearest neighbours and their distance in Å.
Positions (direct):
Hg (0.1070, 0.1070, 0.1479)  4 Hg 2.84-3.06, 2 Os 2.87
Hg (0.2029, 0.2029, 0.7197)  4 Hg 2.84-3.06, 2 Os 2.86
Hg (0.7971, 0.7971, 0.2803)  4 Hg 2.84-3.06, 2 Os 2.86
Hg (0.8930, 0.8930, 0.8521)  4 Hg 2.84-3.06, 2 Os 2.87
Os (0.4695, 0.4695, 0.3185)  1 Os 2.25
Os (0.5305, 0.5305, 0.6815)  1 Os 2.25

***

Here is an optimized crystal structure of Hg2Os from the Alexandria database. Energies are from PBE.

Summary:
- ρ (kg/m3) = 14902
- space-group type = Cmcm (63)
- E_form (eV per atom) = 0.71
- raw total energy (eV per atom) = -3.233

Cell: 5.6659 5.6659 4.1116 Å, 90.00 90.00 86.90°
Last column: nearest neighbours and their distance in Å.
Positions (direct):
Hg (0.0183, 0.3148, 0.2500)  3 Hg 2.74-2.94, 1 Os 2.80
Hg (0.3148, 0.0183, 0.7500)  3 Hg 2.74-2.94, 1 Os 2.80
Hg (0.6852, 0.9817, 0.2500)  3 Hg 2.74-2.94, 1 Os 2.80
Hg (0.9817, 0.6852, 0.7500)  3 Hg 2.74-2.94, 1 Os 2.80
Os (0.4249, 0.5751, 0.2500)  2 Os 2.37
Os (0.5751, 0.4249, 0.7500)  2 Os 2.37

***

Here is an optimized crystal structure of HgOs4 from the Alexandria database. Energies are from PBE.

Summary:
- ρ (kg/m3) = 18364
- space-group type = I4/mmm (139)
- E_form (eV per atom) = 0.76
- energy above the most stable polymorph in this dataset (eV/atom) = 0.061
- raw total energy (eV per atom) = -8.285

Cell: 6.4598 6.4598 6.4598 Å, 145.30 145.30 49.89°
Last column: nearest neighbours and their distance in Å.
Positions (direct):
Hg (0.0000, 0.0000, 0.0000)  8 Os 2.99
Os (0.2500, 0.7500, 0.5000)  8 Os 2.56-2.72
Os (0.3943, 0.3943, 0.0000)  5 Os 2.48-2.56
Os (0.6057, 0.6057, 0.0000)  5 Os 2.48-2.56
Os (0.7500, 0.2500, 0.5000)  8 Os 2.56-2.72

***

Here is an optimized crystal structure of Hg3Os5 from the Alexandria database. Energies are from PBE.

Summary:
- ρ (kg/m3) = 19484
- space-group type = Cmmm (65)
- E_form (eV per atom) = 1.11
- raw total energy (eV per atom) = -6.023

Cell: 5.7742 5.7742 3.9696 Å, 90.00 90.00 90.39°
Last column: nearest neighbours and their distance in Å.
Positions (direct):
Hg (0.0000, 0.0000, 0.0000)  4 Hg 2.83, 8 Os 2.89-2.98
Hg (0.2459, 0.7541, 0.5000)  10 Os 2.78-3.00, 2 Hg 2.83
Hg (0.7541, 0.2459, 0.5000)  10 Os 2.78-3.00, 2 Hg 2.83
Os (0.0000, 0.5000, 0.0000)  6 Hg 2.84-2.89, 6 Os 2.86-2.89
Os (0.2738, 0.2738, 0.5000)  6 Os 2.71-2.86, 6 Hg 2.78-3.00
Os (0.5000, 0.0000, 0.0000)  6 Hg 2.84-2.89, 6 Os 2.86-2.89
Os (0.5000, 0.5000, 0.0000)  8 Os 2.71-2.89, 4 Hg 2.88
Os (0.7262, 0.7262, 0.5000)  6 Os 2.71-2.86, 6 Hg 2.78-3.00

***

Here is an optimized crystal structure of HgOs from the Alexandria database. Energies are from PBE.

Summary:
- ρ (kg/m3) = 16342
- space-group type = Cm (8)
- E_form (eV per atom) = 0.72
- energy above the most stable polymorph in this dataset (eV/atom) = 0.318
- raw total energy (eV per atom) = -5.047

Cell: 6.9405 6.9405 7.0304 Å, 117.55 117.55 23.52°
Last column: nearest neighbours and their distance in Å.
Positions (direct):
Hg (0.0000, 0.0000, 0.0000)  2 Hg 2.83, 6 Os 2.88-3.16
Hg (0.0400, 0.0400, 0.5413)  2 Hg 2.83, 5 Os 2.86-3.07
Hg (0.7748, 0.7748, 0.4503)  2 Hg 2.83, 5 Os 2.84-2.95
Os (0.2774, 0.2774, 0.8034)  3 Os 2.43-2.61
Os (0.3589, 0.3589, 0.1940)  3 Os 2.43-2.61
Os (0.6785, 0.6785, 0.9755)  6 Os 2.61-2.83, 2 Hg 2.88

***

Here is an optimized crystal structure of Hg5Os from the Alexandria database. Energies are from PBE.

Summary:
- ρ (kg/m3) = 15386
- space-group type = P-62m (189)
- E_form (eV per atom) = 0.65
- energy above the most stable polymorph in this dataset (eV/atom) = 0.264
- raw total energy (eV per atom) = -1.469

Cell: 5.7460 5.7460 4.5035 Å, 90.00 90.00 120.00°
Last column: nearest neighbours and their distance in Å.
Positions (direct):
Hg (0.0000, 0.6927, 0.0000)  2 Os 2.86, 6 Hg 3.01-3.06
Hg (0.3073, 0.3073, 0.0000)  2 Os 2.86, 6 Hg 3.01-3.06
Hg (0.3333, 0.6667, 0.5000)  9 Hg 3.01-3.32, 3 Os 3.32
Hg (0.6667, 0.3333, 0.5000)  9 Hg 3.01-3.32, 3 Os 3.32
Hg (0.6927, 0.0000, 0.0000)  2 Os 2.86, 6 Hg 3.01-3.06
Os (0.0000, 0.0000, 0.5000)  6 Hg 2.86

***

Here is an optimized crystal structure of Hg7Os from the Alexandria database. Energies are from PBE.

Summary:
- ρ (kg/m3) = 15443
- space-group type = Fm-3m (225)
- E_form (eV per atom) = 0.51
- raw total energy (eV per atom) = -1.154

Cell: 6.2355 6.2355 6.2355 Å, 60.00 60.00 60.00°
Last column: nearest neighbours and their distance in Å.
Positions (direct):
Hg (0.0000, 0.0000, 0.0000)  12 Hg 3.12
Hg (0.0000, 0.0000, 0.5000)  10 Hg 3.12, 2 Os 3.12
Hg (0.0000, 0.5000, 0.0000)  10 Hg 3.12, 2 Os 3.12
Hg (0.0000, 0.5000, 0.5000)  2 Os 3.12, 10 Hg 3.12
Hg (0.5000, 0.0000, 0.0000)  10 Hg 3.12, 2 Os 3.12
Hg (0.5000, 0.0000, 0.5000)  2 Os 3.12, 10 Hg 3.12
Hg (0.5000, 0.5000, 0.0000)  2 Os 3.12, 10 Hg 3.12
Os (0.5000, 0.5000, 0.5000)  12 Hg 3.12

***

Q: Which value of ρ does entry 6 give?
A: 16342 kg/m3

***

Q: Number 8 is which compound?
A: Hg7Os

***

Please write out number 1 again, unchanged.
Here is an optimized crystal structure of Hg3Os from the Alexandria database. Energies are from PBE.

Summary:
- ρ (kg/m3) = 16588
- space-group type = Pmmm (47)
- E_form (eV per atom) = 0.83
- energy above the most stable polymorph in this dataset (eV/atom) = 0.226
- raw total energy (eV per atom) = -2.206

Cell: 3.0381 4.3461 6.0045 Å, 90.00 90.00 90.00°
Last column: nearest neighbours and their distance in Å.
Positions (direct):
Hg (0.0000, 0.0000, 0.0000)  2 Os 3.00, 10 Hg 3.04-3.10
Hg (0.5000, 0.5000, 0.2671)  7 Hg 2.80-3.10, 4 Os 3.00
Hg (0.5000, 0.5000, 0.7329)  7 Hg 2.80-3.10, 4 Os 3.00
Os (0.0000, 0.0000, 0.5000)  10 Hg 3.00, 2 Os 3.04